Computed, not measured: a relaxed structure of AlPdI2 at the GGA-PBEsol level of DFT.

a = 7.171 Å, b = 7.171 Å, c = 7.171 Å
α = 90.00°, β = 90.00°, γ = 90.00°
Sites, in units of the cell vectors:
1 Al 0.000 0.000 0.000
2 Al 0.000 0.500 0.500
3 Al 0.500 0.000 0.500
4 Al 0.500 0.500 0.000
5 Pd 0.000 0.000 0.500
6 Pd 0.000 0.500 0.000
7 Pd 0.500 0.000 0.000
8 Pd 0.500 0.500 0.500
9 I 0.250 0.250 0.250
10 I 0.250 0.250 0.750
11 I 0.250 0.750 0.250
12 I 0.250 0.750 0.750
13 I 0.750 0.250 0.250
14 I 0.750 0.250 0.750
15 I 0.750 0.750 0.250
16 I 0.750 0.750 0.750

Output
total moment: 0.0 μB/f.u.
symmetry: Fm-3m
energy relative to the elements, uncorrected: 0.25 eV per atom



Computed, not measured: a relaxed structure of ScAl2PdI at the GGA-PBEsol level of DFT.

a = 5.236 Å, b = 5.236 Å, c = 5.262 Å
α = 90.00°, β = 90.00°, γ = 90.00°
Sites, in units of the cell vectors:
1 Sc 0.000 0.000 0.000
2 Al 0.000 0.500 0.000
3 Al 0.500 0.000 0.000
4 Pd 0.500 0.500 0.500
5 I 0.000 0.000 0.500

Output
total moment: 0.0 μB/f.u.
symmetry: P4/mmm
energy relative to the elements, uncorrected: 0.92 eV per atom



Computed, not measured: a relaxed structure of Al3PtI at the GGA-PBEsol level of DFT.

a = 4.858 Å, b = 4.858 Å, c = 4.858 Å
α = 90.00°, β = 90.00°, γ = 90.00°
Sites, in units of the cell vectors:
1 Al 0.000 0.000 0.500
2 Al 0.000 0.500 0.000
3 Al 0.500 0.000 0.000
4 Pt 0.000 0.000 0.000
5 I 0.500 0.500 0.500

Output
total moment: 0.0 μB/f.u.
symmetry: Pm-3m
energy relative to the elements, uncorrected: -0.40 eV per atom



Question: Which formula does entry 3 have?
Answer: Al3PtI